No. 1
Entry from Alexandria via LeMat-Bulk: crystalline BaPaAsO6 at its relaxed geometry (PBE).

Summary:
As for the calculated volume: 511.7 Å³/cell. As for the total DFT energy (no corrections): -7.66 eV per atom. The raw formation energy is -2.566 eV/atom.

Cell lengths 7.1282, 7.4561, 9.6272 Å; angles 90.00, 90.00, 90.00 degrees
Space group Imma (No. 74)
Symmetry-distinct sites (fractional):
Ba 0.0000 0.2500 0.0867 (multiplicity 4)
Pa 0.0000 0.0000 0.5000 (multiplicity 4)
As 0.2500 0.2500 0.7500 (multiplicity 4)
O 0.0000 0.2500 0.3858 (multiplicity 4)
O 0.0000 0.2500 0.6873 (multiplicity 4)
O 0.2249 0.0751 0.8848 (multiplicity 16)

No. 2
Entry from Alexandria via LeMat-Bulk: crystalline RbGe2Te4 at its relaxed geometry (PBE).

Summary:
As for the calculated volume: 555.0 Å³/cell. As for the energy above the most stable polymorph in this dataset: 0 meV per atom. As for the total DFT energy (no corrections): -3.51 eV per atom. The raw formation energy is -0.260 eV/atom.

Cell lengths 7.6510, 8.9558, 9.0540 Å; angles 88.41, 73.74, 69.20 degrees
Space group P1 (No. 1)
Symmetry-distinct sites (fractional):
Rb 0.0000 0.0000 0.0000 (multiplicity 1)
Rb 0.4596 0.1599 0.4250 (multiplicity 1)
Ge 0.0983 0.5382 0.2346 (multiplicity 1)
Ge 0.5613 0.6360 0.2217 (multiplicity 1)
Ge 0.6384 0.8933 0.7871 (multiplicity 1)
Ge 0.7229 0.4939 0.6838 (multiplicity 1)
Te 0.0027 0.8094 0.3963 (multiplicity 1)
Te 0.4457 0.7867 0.6427 (multiplicity 1)
Te 0.4693 0.4229 0.0750 (multiplicity 1)
Te 0.4775 0.9241 0.0858 (multiplicity 1)
Te 0.7459 0.1316 0.6895 (multiplicity 1)
Te 0.9343 0.4988 0.0139 (multiplicity 1)
Te 0.9418 0.3386 0.3949 (multiplicity 1)
Te 0.9901 0.6425 0.7063 (multiplicity 1)

No. 3
Entry from Alexandria via LeMat-Bulk: crystalline Sr2PuBeS5 at its relaxed geometry (PBE).

Summary:
As for the calculated volume: 843.5 Å³/cell. As for the total DFT energy (no corrections): -6.29 eV per atom. The raw formation energy is -1.612 eV/atom.

Cell lengths 3.9635, 17.1252, 12.4265 Å; angles 90.00, 90.00, 90.00 degrees
Space group Cmc2_1 (No. 36)
Symmetry-distinct sites (fractional):
Sr 0.0000 0.1124 0.0000 (multiplicity 4)
Sr 0.0000 0.1177 0.6492 (multiplicity 4)
Pu 0.0000 0.1954 0.3383 (multiplicity 4)
Be 0.0000 0.4395 0.7319 (multiplicity 4)
S 0.0000 0.0414 0.3190 (multiplicity 4)
S 0.0000 0.2993 0.9843 (multiplicity 4)
S 0.0000 0.3158 0.6902 (multiplicity 4)
S 0.0000 0.3488 0.3263 (multiplicity 4)
S 0.0000 0.4985 0.5891 (multiplicity 4)

No. 4
Entry from Alexandria via LeMat-Bulk: crystalline Sm3Y3In2 at its relaxed geometry (PBE).

Summary:
As for the energy of formation: -17.0 kJ per mole of atoms. As for the calculated volume: 997.7 Å³/cell. As for the energy above the most stable polymorph in this dataset: 99 meV per atom. As for the total DFT energy (no corrections): -5.05 eV per atom.

Cell lengths 5.2415, 11.9573, 15.9190 Å; angles 90.00, 90.00, 90.00 degrees
Space group Cmcm (No. 63)
Symmetry-distinct sites (fractional):
Sm 0.0000 0.0384 0.1050 (multiplicity 8)
Sm 0.0000 0.2597 0.2500 (multiplicity 4)
Y 0.0000 0.3580 0.0330 (multiplicity 8)
Y 0.0000 0.4602 0.7500 (multiplicity 4)
In 0.0000 0.2302 0.6393 (multiplicity 8)

No. 5
Entry from Alexandria via LeMat-Bulk: crystalline VGaPt at its relaxed geometry (PBE).

Summary:
As for the energy of formation: -39.3 kJ per mole of atoms. As for the calculated volume: 177.5 Å³/cell. As for the total DFT energy (no corrections): -6.47 eV per atom.

Cell lengths 8.8821, 3.5428, 5.8460 Å; angles 90.00, 105.17, 90.00 degrees
Space group Cm (No. 8)
Symmetry-distinct sites (fractional):
V 0.0000 0.0000 0.0000 (multiplicity 2)
V 0.1705 0.5000 0.8530 (multiplicity 2)
Ga 0.0105 0.0000 0.5417 (multiplicity 2)
Ga 0.3184 0.0000 0.1743 (multiplicity 2)
Pt 0.1331 0.5000 0.3317 (multiplicity 2)
Pt 0.3386 0.0000 0.6781 (multiplicity 2)

No. 6
Entry from Alexandria via LeMat-Bulk: crystalline LiPr8Tl2 at its relaxed geometry (PBE).

Summary:
As for the energy of formation: -9.0 kJ per mole of atoms. As for the calculated volume: 724.7 Å³/cell. As for the total DFT energy (no corrections): -4.17 eV per atom.

Cell lengths 18.6498, 5.4558, 7.2054 Å; angles 90.00, 98.70, 90.00 degrees
Space group C2/m (No. 12)
Symmetry-distinct sites (fractional):
Li 0.0000 0.0000 0.0000 (multiplicity 2)
Pr 0.0269 0.5000 0.7473 (multiplicity 4)
Pr 0.0926 0.0000 0.4513 (multiplicity 4)
Pr 0.1577 0.0000 0.9452 (multiplicity 4)
Pr 0.1871 0.5000 0.2786 (multiplicity 4)
Tl 0.2032 0.5000 0.7309 (multiplicity 4)

Number 5 is which compound?
VGaPt

Among the records above, which one has the highest calculated volume?
Sm3Y3In2

What is the total DFT energy (no corrections) in the fifth record?
-6.47 eV per atom